Entry 1:
Below is crystalline CePm6Tm at its relaxed geometry, with properties calculated at the PBE level.

M_tot   0.121 μB per atom
N(E_F)   1.831 states/eV per atom
Energy   -4.817 eV per atom

Geometry as CIF:
```
data_CePm6Tm
_cell_length_a 5.108
_cell_length_b 5.108
_cell_length_c 20.479
_cell_angle_alpha 90.00
_cell_angle_beta 90.00
_cell_angle_gamma 90.00
_space_group_name_H-M_alt 'I 4/m m m'
_space_group_IT_number 139
_space_group_name_Hall '-I 4 2'
loop_
_atom_site_label
_atom_site_type_symbol
_atom_site_fract_x
_atom_site_fract_y
_atom_site_fract_z
Ce1 Ce 0.000 0.000 0.000
Pm1 Pm 0.000 0.000 0.248
Pm2 Pm 0.000 0.500 0.122
Tm1 Tm 0.000 0.000 0.500
```

***

Entry 2:
Below is crystalline Ce2PmTm at its relaxed geometry, with properties calculated at the PBE level.

M_tot   0.388 μB per atom
N(E_F)   2.581 states/eV per atom
Energy relative to the lowest polymorph listed for this composition   0.016 eV per atom
Energy   -5.160 eV per atom

Geometry as CIF:
```
data_Ce2PmTm
_cell_length_a 3.475
_cell_length_b 3.475
_cell_length_c 10.157
_cell_angle_alpha 90.00
_cell_angle_beta 90.00
_cell_angle_gamma 90.00
_space_group_name_H-M_alt 'P 4/m m m'
_space_group_IT_number 123
_space_group_name_Hall '-P 4 2'
loop_
_atom_site_label
_atom_site_type_symbol
_atom_site_fract_x
_atom_site_fract_y
_atom_site_fract_z
Ce1 Ce 0.000 0.000 0.246
Pm1 Pm 0.500 0.500 0.500
Tm1 Tm 0.500 0.500 0.000
```

***

Entry 3:
Below is crystalline CePmTm3 at its relaxed geometry, with properties calculated at the PBE level.

M_tot   0.132 μB per atom
N(E_F)   1.701 states/eV per atom
Energy relative to the lowest polymorph listed for this composition   0.000 eV per atom
Energy   -4.773 eV per atom

Geometry as CIF:
```
data_CePmTm3
_cell_length_a 9.952
_cell_length_b 3.520
_cell_length_c 17.516
_cell_angle_alpha 90.00
_cell_angle_beta 90.00
_cell_angle_gamma 90.00
_space_group_name_H-M_alt 'P n m a'
_space_group_IT_number 62
_space_group_name_Hall '-P 2ac 2n'
loop_
_atom_site_label
_atom_site_type_symbol
_atom_site_fract_x
_atom_site_fract_y
_atom_site_fract_z
Ce1 Ce 0.119 0.250 0.049
Pm1 Pm 0.125 0.250 0.649
Tm1 Tm 0.122 0.250 0.851
Tm2 Tm 0.127 0.250 0.250
Tm3 Tm 0.131 0.250 0.450
```

***

Taking the records one at a time from the top gives ΔH_f (0 K) values of 47 113 47 meV per atom.